[1]
Material: ZrV2AgI
Method: DFT, GGA-PBE
State: optimized geometry

The structure in POSCAR format:
```
ZrV2AgI
1.0
4.868 0.000 0.000
0.000 5.076 0.000
0.000 0.000 4.868
V Ag Zr I
2 1 1 1
Direct
0.500 0.000 0.000 V
0.000 0.000 0.500 V
0.000 0.500 0.000 Ag
0.500 0.500 0.500 Zr
0.000 0.000 0.000 I
```

## Properties
SG ... No. 123
ρ ... 5.9 g/cm³
DFT total energy ... -4.829 eV per atom
Formation energy from raw total energies ... 1.408 eV per atom

***

[2]
Material: Ho5AgIr2
Method: DFT, GGA-PBE
State: optimized geometry

The structure in POSCAR format:
```
Ho5AgIr2
1.0
-0.289 -5.311 -5.573
3.410 -5.088 4.672
-7.517 3.222 2.644
Ho Ir Ag
10 4 2
Direct
0.295 0.795 0.271 Ho
0.705 0.205 0.729 Ho
0.976 0.476 0.271 Ho
0.024 0.524 0.729 Ho
0.795 0.976 0.271 Ho
0.000 0.000 0.000 Ho
0.205 0.024 0.729 Ho
0.500 0.500 0.000 Ho
0.524 0.705 0.729 Ho
0.476 0.295 0.271 Ho
0.359 0.859 0.000 Ir
0.641 0.141 0.000 Ir
0.859 0.641 0.000 Ir
0.141 0.359 0.000 Ir
0.750 0.750 0.500 Ag
0.250 0.250 0.500 Ag
```

## Properties
Energy of formation from the pure elements ... -0.653 eV per atom
SG ... No. 140
ρ ... 11.1 g/cm³
DFT total energy ... -6.085 eV per atom

***

[3]
Material: HfBeFe2
Method: DFT, GGA-PBE
State: optimized geometry

The structure in POSCAR format:
```
HfBeFe2
1.0
3.710 0.000 0.000
0.000 3.710 0.000
1.855 1.855 8.037
Hf Fe Be
2 4 2
Direct
0.000 0.000 0.000 Hf
0.750 0.250 0.500 Hf
0.375 0.477 0.750 Fe
0.875 0.773 0.750 Fe
0.523 0.125 0.250 Fe
0.227 0.625 0.250 Fe
0.250 0.750 0.500 Be
0.500 0.500 0.000 Be
```

## Properties
Energy of formation from the pure elements ... 0.308 eV per atom
SG ... No. 122
ρ ... 9.0 g/cm³
DFT total energy ... -7.344 eV per atom

***

[4]
Material: Ni2WI
Method: DFT, GGA-PBE
State: optimized geometry

The structure in POSCAR format:
```
Ni2WI
1.0
-2.480 5.697 0.500
-2.866 -1.709 5.265
0.683 3.258 5.120
I Ni W
2 4 2
Direct
0.250 0.750 0.500 I
0.500 0.500 0.000 I
0.098 0.625 0.250 Ni
0.875 0.902 0.750 Ni
0.652 0.125 0.250 Ni
0.375 0.348 0.750 Ni
0.750 0.250 0.500 W
0.000 0.000 0.000 W
```

## Properties
SG ... No. 122
ρ ... 8.7 g/cm³
DFT total energy ... -5.501 eV per atom
ΔE to the lowest computed polymorph ... 0 meV/atom
Formation energy from raw total energies ... 1.016 eV per atom

***

[5]
Material: AcZn3GaAg
Method: DFT, GGA-PBE
State: optimized geometry

The structure in POSCAR format:
```
AcZn3GaAg
1.0
-4.626 2.999 2.720
-0.095 -4.424 4.715
4.409 5.803 1.100
Zn Ga Ac Ag
6 2 2 2
Direct
0.750 0.861 0.722 Zn
0.500 0.696 0.000 Zn
0.500 0.304 0.000 Zn
0.000 0.304 0.000 Zn
0.250 0.139 0.278 Zn
0.000 0.696 0.000 Zn
0.750 0.057 0.115 Ga
0.250 0.943 0.885 Ga
0.750 0.287 0.574 Ac
0.250 0.713 0.426 Ac
0.250 0.347 0.693 Ag
0.750 0.653 0.307 Ag
```

## Properties
Energy of formation from the pure elements ... -0.098 eV per atom
SG ... No. 63
ρ ... 7.6 g/cm³
DFT total energy ... -2.400 eV per atom

***

[6]
Material: Ba3SeCl3
Method: DFT, GGA-PBE
State: optimized geometry

The structure in POSCAR format:
```
Ba3SeCl3
1.0
6.430 0.000 0.000
0.000 6.430 0.000
0.000 0.000 6.430
Ba Cl Se
3 3 1
Direct
0.000 0.500 0.500 Ba
0.500 0.500 0.000 Ba
0.500 0.000 0.500 Ba
0.500 0.000 0.000 Cl
0.000 0.500 0.000 Cl
0.000 0.000 0.500 Cl
0.500 0.500 0.500 Se
```

## Properties
SG ... No. 221
ρ ... 3.7 g/cm³
DFT total energy ... -4.260 eV per atom
Formation energy from raw total energies ... -2.147 eV per atom

***

[7]
Material: Pm6SmDy2Y
Method: DFT, GGA-PBE
State: optimized geometry

The structure in POSCAR format:
```
Pm6SmDy2Y
1.0
9.254 -2.037 -2.113
0.794 8.662 -2.044
0.794 -2.363 8.580
Dy Pm Sm Y
4 12 2 2
Direct
0.545 0.200 0.300 Dy
0.955 0.700 0.800 Dy
0.455 0.800 0.700 Dy
0.045 0.300 0.200 Dy
0.684 0.015 0.565 Pm
0.184 0.565 0.015 Pm
0.945 0.883 0.243 Pm
0.445 0.243 0.883 Pm
0.555 0.757 0.117 Pm
0.620 0.491 0.708 Pm
0.380 0.509 0.292 Pm
0.816 0.435 0.985 Pm
0.316 0.985 0.435 Pm
0.055 0.117 0.757 Pm
0.880 0.292 0.509 Pm
0.120 0.708 0.491 Pm
0.250 0.974 0.026 Sm
0.750 0.026 0.974 Sm
0.750 0.591 0.409 Y
0.250 0.409 0.591 Y
```

## Properties
Energy of formation from the pure elements ... 0.113 eV per atom
SG ... No. 15
ρ ... 7.0 g/cm³
DFT total energy ... -4.776 eV per atom

***

[8]
Material: Er8CdSn2
Method: DFT, GGA-PBE
State: optimized geometry

The structure in POSCAR format:
```
Er8CdSn2
1.0
-4.099 1.477 -2.546
-2.668 -6.148 0.728
-0.995 4.100 8.983
Sn Er Cd
2 8 1
Direct
0.182 0.757 0.364 Sn
0.818 0.243 0.636 Sn
0.593 0.476 0.186 Er
0.978 0.231 0.957 Er
0.022 0.769 0.043 Er
0.407 0.524 0.814 Er
0.787 0.681 0.573 Er
0.656 0.996 0.312 Er
0.344 0.004 0.688 Er
0.213 0.319 0.427 Er
0.500 0.000 0.000 Cd
```

## Properties
Energy of formation from the pure elements ... -0.276 eV per atom
SG ... No. 12
ρ ... 8.9 g/cm³
DFT total energy ... -4.406 eV per atom

***

Total magnetization (μB per atom)
0.68, 0.00, 0.29, 0.00, 0.00, 0.00, 0.00, 0.00